Compound: Na2ZnRh2O6
Source: Alexandria
Functional: PBE-GGA
Structure: optimized geometry

## Properties
V in Å³/f.u.: 135.8
ρ in g/cm³: 5.052
Raw formation energy in eV per atom: -1.09
Density of states at the Fermi level in states/eV per cell: 17.17

The structure in CIF format:
```
data_Na2ZnRh2O6
_symmetry_space_group_name_H-M 'C 1 2/m 1'
_symmetry_Int_Tables_number 12
_cell_length_a 5.330
_cell_length_b 9.379
_cell_length_c 5.695
_cell_angle_alpha 90.00
_cell_angle_beta 107.44
_cell_angle_gamma 90.00
loop_
_symmetry_equiv_pos_as_xyz
'x,y,z'
'-x,-y,-z'
'-x,y,-z'
'x,-y,z'
'x+1/2,y+1/2,z'
'-x+1/2,-y+1/2,-z'
'-x+1/2,y+1/2,-z'
'x+1/2,-y+1/2,z'
loop_
_atom_site_label
_atom_site_fract_x
_atom_site_fract_y
_atom_site_fract_z
Na1 0.000 0.163 0.000
Zn1 0.000 0.000 0.500
Rh1 0.000 0.335 0.500
O1 0.222 0.500 0.691
O2 0.233 0.179 0.693
```



Compound: HoEr2Ru
Source: Alexandria
Functional: PBE-GGA
Structure: optimized geometry

## Properties
V in Å³/f.u.: 110.0
ΔE to the lowest computed polymorph in eV per formula unit: 1.766
ρ in g/cm³: 9.069
Density of states at the Fermi level in states/eV per cell: 20.90
DFT formation energy in eV/atom: 0.09

The structure in CIF format:
```
data_HoEr2Ru
_symmetry_space_group_name_H-M 'R -3 m'
_symmetry_Int_Tables_number 166
_symmetry_space_group_name_Hall '-R 3 2"'
_cell_length_a 3.4591
_cell_length_b 3.4591
_cell_length_c 31.8336
_cell_angle_alpha 90.00
_cell_angle_beta 90.00
_cell_angle_gamma 120.00
loop_
_atom_site_label
_atom_site_fract_x
_atom_site_fract_y
_atom_site_fract_z
Ho1 0.0000 0.0000 0.0000
Er1 0.0000 0.0000 0.1069
Ru1 0.0000 0.0000 0.5000
```